Entry 1:
Compound: La2SmGeC
Source: the Alexandria database
Functional: PBE
Structure: optimized geometry

abc: 8.948 8.948 7.758
angles: 90.00 90.00 155.06
Element x y z (fractional)
La 0.146 0.854 0.528
La 0.146 0.854 0.972
La 0.854 0.146 0.028
La 0.854 0.146 0.472
Sm 0.490 0.510 0.750
Sm 0.510 0.490 0.250
Ge 0.305 0.695 0.750
Ge 0.695 0.305 0.250
C 0.000 0.000 0.000
C 0.000 0.000 0.500

* calculated volume: 261.9 Å³ per cell
* calculated formation energy: -0.256 eV per atom
* magnetization: 0.0 μB per formula unit
* crystal system: orthorhombic
* symmetry: No. 63



Entry 2:
Compound: LaTc2GeC
Source: the Alexandria database
Functional: PBE
Structure: optimized geometry

abc: 5.909 5.909 7.571
angles: 90.00 90.00 139.65
Element x y z (fractional)
La 0.045 0.955 0.750
La 0.955 0.045 0.250
Tc 0.329 0.671 0.558
Tc 0.329 0.671 0.942
Tc 0.671 0.329 0.058
Tc 0.671 0.329 0.442
Ge 0.232 0.768 0.250
Ge 0.768 0.232 0.750
C 0.500 0.500 0.000
C 0.500 0.500 0.500

* calculated volume: 171.2 Å³ per cell
* calculated formation energy: -0.367 eV per atom
* magnetization: 0.0 μB per formula unit
* crystal system: orthorhombic
* symmetry: No. 63



Entry 3:
Compound: LaTc2Ge2C
Source: the Alexandria database
Functional: PBE
Structure: optimized geometry

abc: 4.217 4.217 5.569
angles: 90.00 90.00 90.00
Element x y z (fractional)
La 0.000 0.000 0.000
Tc 0.000 0.500 0.500
Tc 0.500 0.000 0.500
Ge 0.500 0.500 0.225
Ge 0.500 0.500 0.775
C 0.000 0.000 0.500

* calculated volume: 99.0 Å³ per cell
* calculated formation energy: -0.412 eV per atom
* magnetization: 0.0 μB per formula unit
* crystal system: tetragonal
* symmetry: No. 123



Entry 4:
Compound: La2Tc2Ge2C
Source: the Alexandria database
Functional: PBE
Structure: optimized geometry

abc: 6.092 6.092 7.390
angles: 125.12 125.12 40.34
Element x y z (fractional)
La 0.065 0.065 0.295
La 0.935 0.935 0.705
Tc 0.303 0.303 0.917
Tc 0.697 0.697 0.083
Ge 0.340 0.340 0.290
Ge 0.660 0.660 0.710
C 0.500 0.500 0.000

* calculated volume: 140.3 Å³ per cell
* calculated formation energy: -0.571 eV per atom
* magnetization: 0.0 μB per formula unit
* crystal system: monoclinic
* symmetry: No. 12



Entry 5:
Compound: La3TmGe2C
Source: the Alexandria database
Functional: PBE
Structure: optimized geometry

abc: 8.759 8.759 8.759
angles: 148.39 147.21 46.19
Element x y z (fractional)
La 0.000 0.000 0.000
La 0.331 0.831 0.500
La 0.669 0.169 0.500
Tm 0.500 0.500 0.000
Ge 0.134 0.634 0.500
Ge 0.866 0.366 0.500
C 0.500 0.000 0.500

* calculated volume: 190.1 Å³ per cell
* calculated formation energy: -0.586 eV per atom
* magnetization: 0.0 μB per formula unit
* crystal system: orthorhombic
* symmetry: No. 71



Entry 6:
Compound: La2GeWC
Source: the Alexandria database
Functional: PBE
Structure: optimized geometry

abc: 5.660 5.660 3.997
angles: 90.00 90.00 90.00
Element x y z (fractional)
La 0.000 0.500 0.000
La 0.500 0.000 0.000
Ge 0.000 0.000 0.500
W 0.500 0.500 0.000
C 0.500 0.500 0.500

* calculated volume: 128.0 Å³ per cell
* calculated formation energy: 0.533 eV per atom
* magnetization: 0.0 μB per formula unit
* crystal system: tetragonal
* symmetry: No. 123



Entry 7:
Compound: La2YGeC
Source: the Alexandria database
Functional: PBE
Structure: optimized geometry

abc: 5.145 5.145 4.870
angles: 90.00 90.00 90.00
Element x y z (fractional)
La 0.000 0.500 0.000
La 0.500 0.000 0.000
Y 0.000 0.000 0.500
Ge 0.500 0.500 0.500
C 0.000 0.000 0.000

* calculated volume: 128.9 Å³ per cell
* calculated formation energy: -0.405 eV per atom
* magnetization: 0.0 μB per formula unit
* crystal system: tetragonal
* symmetry: No. 123



Entry 8:
Compound: La3YGe2C
Source: the Alexandria database
Functional: PBE
Structure: optimized geometry

abc: 8.768 8.768 8.768
angles: 148.03 147.18 46.48
Element x y z (fractional)
La 0.000 0.000 0.000
La 0.330 0.830 0.500
La 0.670 0.170 0.500
Y 0.500 0.500 0.000
Ge 0.135 0.635 0.500
Ge 0.865 0.365 0.500
C 0.500 0.000 0.500

* calculated volume: 192.8 Å³ per cell
* calculated formation energy: -0.577 eV per atom
* magnetization: 0.0 μB per formula unit
* crystal system: orthorhombic
* symmetry: No. 71